Computed, not measured: crystalline Zr3NiO at its relaxed geometry at the PBE+U level of DFT.

The space group is Cmcm (No. 63) and the conventional cell measures 3.353, 10.945 and 8.841 Å, with angles of 90.00, 90.00 and 90.00 degrees. The inequivalent atoms are Zr at (0.000, 0.066, 0.250), Zr at (0.000, 0.365, 0.060), Ni at (0.000, 0.244, 0.750) and O at (0.000, 0.000, 0.000).

For the total energy, the calculation gives -7.605 eV/atom.